Material: Ce6Ru3Rh
Method: DFT, GGA-PBE
State: optimized geometry

## Properties
DOS(E_F) in states/eV per cell: 45.86
Crystal system: orthorhombic
E in eV/atom: -7.345
Calculated formation energy in meV per atom: -266

abc: 6.982 8.651 8.651
angles: 105.80 90.00 90.00
Each line ends with the local moment (μB).
Fractional positions:
Ru  0.470  0.334  0.078  -0.06
Ru  0.889  0.600  0.400  -0.07
Ru  0.470  0.922  0.666  -0.06
Ru  0.970  0.666  0.922  -0.06
Ru  0.389  0.400  0.600  -0.07
Ru  0.970  0.078  0.334  -0.06
Ce  0.683  0.252  0.748  0.52
Ce  0.622  0.289  0.346  0.41
Ce  0.720  0.551  0.101  0.24
Ce  0.122  0.346  0.289  0.41
Ce  0.122  0.711  0.654  0.41
Ce  0.292  0.015  0.985  0.30
Ce  0.183  0.748  0.252  0.52
Ce  0.792  0.985  0.015  0.30
Ce  0.220  0.101  0.551  0.24
Ce  0.720  0.899  0.449  0.24
Ce  0.622  0.654  0.711  0.41
Ce  0.220  0.449  0.899  0.24
Rh  0.497  0.854  0.146  -0.04
Rh  0.997  0.146  0.854  -0.04

---

Material: Ce6RuRh5
Method: DFT, GGA-PBE
State: optimized geometry

## Properties
DOS(E_F) in states/eV per cell: 21.90
Crystal system: monoclinic
E in eV/atom: -7.411
Calculated formation energy in meV per atom: -608

abc: 4.867 6.964 8.557
angles: 65.99 73.60 90.00
Each line ends with the local moment (μB).
Fractional positions:
Ce  0.164  0.414  0.674  0.41
Ce  0.836  0.088  0.326  0.41
Ce  0.500  0.248  0.000  0.48
Ce  0.836  0.586  0.326  0.41
Ce  0.164  0.912  0.674  0.41
Ce  0.500  0.752  0.000  0.48
Rh  0.319  0.321  0.358  -0.07
Rh  0.000  0.500  0.000  -0.08
Rh  0.328  0.830  0.339  -0.07
Rh  0.672  0.170  0.661  -0.07
Rh  0.681  0.679  0.642  -0.07
Ru  0.000  0.000  0.000  -0.14

---

Material: CeScRuRh
Method: DFT, GGA-PBE
State: optimized geometry

## Properties
DOS(E_F) in states/eV per cell: 4.01
Crystal system: cubic
E in eV/atom: -7.836
Calculated formation energy in meV per atom: -613

abc: 4.744 4.744 4.744
angles: 60.00 60.00 60.00
Each line ends with the local moment (μB).
Fractional positions:
Ce  0.500  0.500  0.500  0.19
Rh  0.250  0.250  0.250  0.00
Ru  0.750  0.750  0.750  -0.01
Sc  0.000  0.000  0.000  0.01

---

Material: CeSiRuRh
Method: DFT, GGA-PBE
State: optimized geometry

## Properties
DOS(E_F) in states/eV per cell: 3.29
Crystal system: orthorhombic
E in eV/atom: -7.500
Formation energy from raw total energies in kJ per mole of atoms: -49

abc: 4.365 3.801 4.832
angles: 113.16 90.00 90.00
Fractional positions:
Rh  0.500  0.480  0.960
Ru  0.000  0.932  0.865
Si  0.000  0.604  0.208
Ce  0.500  0.211  0.422

---

Material: CeSi3RuRh
Method: DFT, GGA-PBE
State: optimized geometry

## Properties
DOS(E_F) in states/eV per cell: 17.26
Crystal system: orthorhombic
E in eV/atom: -6.981
Formation energy from raw total energies in kJ per mole of atoms: -49

abc: 5.586 7.286 6.809
angles: 122.35 90.00 90.00
Each line ends with the local moment (μB).
Fractional positions:
Ce  0.250  0.753  0.507  0.90
Ce  0.750  0.247  0.493  0.90
Si  0.500  0.251  0.000  -0.01
Si  0.250  0.247  0.495  0.03
Si  0.000  0.749  0.000  -0.01
Si  0.750  0.753  0.505  0.03
Si  0.500  0.749  0.000  -0.01
Si  0.000  0.251  0.000  -0.01
Rh  0.250  0.438  0.876  0.04
Rh  0.750  0.562  0.124  0.04
Ru  0.750  0.944  0.887  0.12
Ru  0.250  0.056  0.113  0.12

---

Material: CeThRuRh
Method: DFT, GGA-PBE
State: optimized geometry

## Properties
DOS(E_F) in states/eV per cell: 4.76
Crystal system: cubic
E in eV/atom: -8.011
Calculated formation energy in meV per atom: -516

abc: 4.967 4.967 4.967
angles: 60.00 60.00 60.00
Each line ends with the local moment (μB).
Fractional positions:
Ru  0.750  0.750  0.750  -0.06
Ce  0.000  0.000  0.000  0.28
Rh  0.250  0.250  0.250  -0.04
Th  0.500  0.500  0.500  0.03

---

Material: CeRhS
Method: DFT, GGA-PBE
State: optimized geometry

## Properties
DOS(E_F) in states/eV per cell: 4.08
Crystal system: trigonal
E in eV/atom: -7.114
Formation energy from raw total energies in kJ per mole of atoms: -126

abc: 3.711 4.179 4.179
angles: 120.00 90.00 90.00
Each line ends with the local moment (μB).
Fractional positions:
Ce  0.667  0.667  0.333  0.35
S  0.166  0.333  0.667  -0.01
Rh  0.167  0.000  0.000  -0.04

---

Material: CeRhS
Method: DFT, GGA-PBE
State: optimized geometry

## Properties
DOS(E_F) in states/eV per cell: 5.56
Crystal system: trigonal
E in eV/atom: -6.870
Formation energy from raw total energies in kJ per mole of atoms: -103

abc: 4.627 4.627 8.675
angles: 74.53 74.53 60.00
Each line ends with the local moment (μB).
Fractional positions:
Ce  0.760  0.760  0.719  0.22
Ce  0.240  0.240  0.281  0.22
S  0.876  0.876  0.371  -0.01
S  0.124  0.124  0.629  -0.01
Rh  0.332  0.332  0.003  -0.04
Rh  0.668  0.668  0.997  -0.04

---

Material: CeSbRhS
Method: DFT, GGA-PBE
State: optimized geometry

## Properties
DOS(E_F) in states/eV per cell: 14.26
Crystal system: tetragonal
E in eV/atom: -6.525
Formation energy from raw total energies in kJ per mole of atoms: -110

abc: 4.548 4.548 8.579
angles: 90.00 90.00 90.00
Each line ends with the local moment (μB).
Fractional positions:
Rh  0.500  0.500  0.000  0.14
Rh  0.000  0.000  0.000  0.14
S  0.500  0.500  0.500  -0.03
S  0.000  0.000  0.500  -0.03
Ce  0.500  0.000  0.684  0.61
Ce  0.000  0.500  0.316  0.61
Sb  0.500  0.000  0.156  0.00
Sb  0.000  0.500  0.844  0.00

---

Material: CeTlRhS3
Method: DFT, GGA-PBE
State: optimized geometry

## Properties
DOS(E_F) in states/eV per cell: 8.08
Crystal system: monoclinic
E in eV/atom: -5.713
Formation energy from raw total energies in kJ per mole of atoms: -100

abc: 4.048 8.821 9.088
angles: 105.56 90.00 90.00
Each line ends with the local moment (μB).
Fractional positions:
S  0.750  0.453  0.154  -0.01
S  0.750  0.190  0.524  0.00
S  0.250  0.126  0.858  -0.01
S  0.750  0.874  0.142  -0.01
S  0.250  0.810  0.476  0.00
S  0.250  0.547  0.846  -0.01
Tl  0.750  0.811  0.776  0.00
Tl  0.250  0.189  0.224  0.00
Rh  0.750  0.912  0.415  0.01
Rh  0.250  0.088  0.585  0.01
Ce  0.750  0.325  0.836  0.20
Ce  0.250  0.675  0.164  0.20

---

Material: Ce4Sb8Rh3
Method: DFT, GGA-PBE
State: optimized geometry

## Properties
DOS(E_F) in states/eV per cell: 20.30
Crystal system: tetragonal
E in eV/atom: -6.046
Formation energy from raw total energies in kJ per mole of atoms: -77

abc: 4.430 4.430 19.087
angles: 90.00 90.00 90.00
Each line ends with the local moment (μB).
Fractional positions:
Rh  0.000  0.000  0.000  0.01
Rh  0.000  0.000  0.500  0.12
Rh  0.500  0.500  0.500  0.12
Sb  0.500  0.500  0.245  0.00
Sb  0.500  0.500  0.755  0.00
Sb  0.000  0.500  0.419  0.02
Sb  0.500  0.000  0.581  0.02
Sb  0.500  0.000  0.073  0.00
Sb  0.000  0.000  0.245  0.00
Sb  0.000  0.000  0.755  0.00
Sb  0.000  0.500  0.927  0.00
Ce  0.500  0.000  0.376  0.55
Ce  0.000  0.500  0.112  0.01
Ce  0.500  0.000  0.888  0.01
Ce  0.000  0.500  0.624  0.55

---

Material: Ce3Sb4Rh8
Method: DFT, GGA-PBE
State: optimized geometry

## Properties
DOS(E_F) in states/eV per cell: 24.87
Crystal system: cubic
E in eV/atom: -6.924
Formation energy from raw total energies in kJ per mole of atoms: -69

abc: 9.268 9.268 9.268
angles: 60.00 60.00 60.00
Each line ends with the local moment (μB).
Fractional positions:
Ce  0.274  0.274  0.726  -0.10
Ce  0.726  0.274  0.274  -0.10
Ce  0.274  0.726  0.274  -0.10
Ce  0.274  0.726  0.726  -0.10
Ce  0.726  0.274  0.726  -0.10
Ce  0.726  0.726  0.274  -0.10
Sb  0.000  0.500  0.500  0.00
Sb  0.500  0.000  0.500  0.00
Sb  0.000  0.000  0.000  0.00
Sb  0.500  0.500  0.000  0.00
Sb  0.500  0.000  0.000  0.00
Sb  0.500  0.500  0.500  0.01
Sb  0.000  0.500  0.000  0.00
Sb  0.000  0.000  0.500  0.00
Rh  0.121  0.121  0.121  0.00
Rh  0.666  0.666  0.002  0.01
Rh  0.666  0.002  0.666  0.01
Rh  0.334  0.334  0.998  0.01
Rh  0.666  0.666  0.666  0.01
Rh  0.637  0.121  0.121  0.00
Rh  0.121  0.637  0.121  0.00
Rh  0.363  0.879  0.879  0.00
Rh  0.002  0.666  0.666  0.01
Rh  0.121  0.121  0.637  0.00
Rh  0.879  0.879  0.879  0.00
Rh  0.998  0.334  0.334  0.01
Rh  0.334  0.998  0.334  0.01
Rh  0.334  0.334  0.334  0.01
Rh  0.879  0.363  0.879  0.00
Rh  0.879  0.879  0.363  0.00

---

- Which value of E does entry 3 give?
  -7.836 eV/atom

---

- Which formula does entry 9 have?
  CeSbRhS

---

- What is the E in the eleventh record?
  -6.046 eV/atom